Entry from Alexandria: GeHIrRh2 after structural relaxation (PBE-GGA).

Unit cell a=3.906 b=3.906 c=3.945 alpha=90.00 beta=90.00 gamma=90.00
Fractional coordinates of all 5 atoms:
H1 0.000 0.000 0.000
Ge1 0.500 0.500 0.500
Ir1 0.000 0.000 0.500
Rh1 0.000 0.500 0.000
Rh2 0.500 0.000 0.000

Values from the calculation:
Raw total energy ... -6.452 eV per atom
ρ ... 13.02 g/cm3
Fermi-level density of states ... 0.4562 states/eV/atom
Symmetry ... No. 123


Entry from Alexandria: GeHIrRu2 after structural relaxation (PBE-GGA).

Unit cell a=3.918 b=3.918 c=3.924 alpha=90.00 beta=90.00 gamma=90.00
Each line ends with the local moment (μB).
Fractional coordinates of all 5 atoms:
Ru1 0.000 0.500 0.000  0.46
Ru2 0.500 0.000 0.000  0.46
Ge1 0.500 0.500 0.500  0.02
Ir1 0.000 0.000 0.500  0.12
H1 0.000 0.000 0.000  0.00

Values from the calculation:
Raw total energy ... -6.947 eV per atom
ρ ... 12.90 g/cm3
Fermi-level density of states ... 1.3088 states/eV/atom
Symmetry ... No. 123


Entry from Alexandria: SmGeHIr2 after structural relaxation (PBE-GGA).

Unit cell a=3.973 b=5.752 c=7.268 alpha=90.00 beta=90.00 gamma=110.20
Fractional coordinates of all 10 atoms:
Sm1 0.442 0.884 0.750
Sm2 0.558 0.116 0.250
Ge1 0.723 0.447 0.750
Ge2 0.277 0.553 0.250
H1 0.000 0.000 0.000
H2 0.000 0.000 0.500
Ir1 0.159 0.318 0.946
Ir2 0.841 0.682 0.054
Ir3 0.159 0.318 0.554
Ir4 0.841 0.682 0.446

Values from the calculation:
Raw total energy ... -6.642 eV per atom
ρ ... 12.97 g/cm3
Fermi-level density of states ... 0.7768 states/eV/atom
Symmetry ... No. 63